Entry 1:
Compound: MnAsIr
Source: the Alexandria database
Functional: PBE-GGA
Structure: optimized geometry

Calculated values
- calculated formation energy (eV/atom) = -0.02
- uncorrected energy (eV/atom) = -7.582

a = 2.993 Å, b = 4.600 Å, c = 6.881 Å
α = 105.65°, β = 102.64°, γ = 90.00°
Each line ends with the local moment (μB).
Fractional positions:
As: 0.434 0.288 0.572  -0.05
As: 0.626 0.867 0.956  -0.06
Mn: 0.955 0.776 0.613  3.27
Mn: 0.769 0.337 0.242  3.22
Ir: 0.289 0.828 0.283  0.19
Ir: 0.096 0.380 0.895  0.13

=====

Entry 2:
Compound: PuPd5Au6
Source: the Alexandria database
Functional: PBE-GGA
Structure: optimized geometry

Calculated values
- calculated formation energy (eV/atom) = -0.19
- uncorrected energy (eV/atom) = -5.186

a = 4.160 Å, b = 8.326 Å, c = 7.686 Å
α = 122.79°, β = 105.70°, γ = 90.00°
Each line ends with the local moment (μB).
Fractional positions:
Au: 0.500 0.270 0.000  0.01
Au: 0.830 0.093 0.660  0.01
Au: 0.500 0.730 0.000  0.01
Au: 0.170 0.907 0.340  0.01
Au: 0.170 0.433 0.340  0.01
Au: 0.830 0.567 0.660  0.01
Pd: 0.342 0.842 0.685  -0.06
Pd: 0.327 0.327 0.654  0.01
Pd: 0.673 0.673 0.346  0.01
Pd: 0.658 0.158 0.315  -0.06
Pd: 0.000 0.500 0.000  0.01
Pu: 0.000 0.000 0.000  4.97

=====

Entry 3:
Compound: RbAcSe2O8
Source: the Alexandria database
Functional: PBE-GGA
Structure: optimized geometry

Calculated values
- uncorrected energy (eV/atom) = -5.863
- formation energy from raw total energies (eV per atom) = -1.553

a = 5.966 Å, b = 5.966 Å, c = 8.534 Å
α = 90.00°, β = 90.00°, γ = 120.00°
Fractional positions:
O: 0.363 0.182 0.187
O: 0.182 0.818 0.813
O: 0.637 0.818 0.813
O: 0.667 0.333 0.451
O: 0.818 0.182 0.187
O: 0.333 0.667 0.549
O: 0.182 0.363 0.813
O: 0.818 0.637 0.187
Ac: 0.000 0.000 0.000
Se: 0.667 0.333 0.259
Se: 0.333 0.667 0.741
Rb: 0.000 0.000 0.500

=====

Entry 4:
Compound: CsIrPt2
Source: the Alexandria database
Functional: PBE-GGA
Structure: optimized geometry

Calculated values
- calculated formation energy (eV/atom) = 0.41
- uncorrected energy (eV/atom) = -5.036

a = 5.583 Å, b = 5.583 Å, c = 8.974 Å
α = 71.88°, β = 71.88°, γ = 90.00°
Fractional positions:
Ir: 0.750 0.250 0.500
Ir: 0.000 0.000 0.000
Pt: 0.875 0.125 0.750
Pt: 0.875 0.625 0.250
Pt: 0.375 0.125 0.750
Pt: 0.875 0.125 0.250
Cs: 0.500 0.500 0.000
Cs: 0.250 0.750 0.500